*1*
PmGd2Sb after structural relaxation, computed with PBE-GGA.

Computed properties:
Calculated volume (Å³/atom): 29.0

Cell lengths 7.742, 7.742, 7.742 Å; angles 90.00, 90.00, 90.00 degrees
Space group Fm-3m (No. 225)
One atom of each set of equivalent atoms:
Pm 0.000 0.000 0.000 (multiplicity 4)
Gd 0.250 0.250 0.250 (multiplicity 8)
Sb 0.000 0.000 0.500 (multiplicity 4)


*2*
PmGd2Sb after structural relaxation, computed with PBE-GGA.

Computed properties:
Calculated volume (Å³/atom): 30.0

Cell lengths 4.061, 4.061, 7.274 Å; angles 90.00, 90.00, 90.00 degrees
Space group P4/mmm (No. 123)
One atom of each set of equivalent atoms:
Pm 0.000 0.000 0.000 (multiplicity 1)
Gd 0.500 0.500 0.282 (multiplicity 2)
Sb 0.000 0.000 0.500 (multiplicity 1)


*3*
PmGd2Sb after structural relaxation, computed with PBE-GGA.

Computed properties:
Calculated volume (Å³/atom): 28.6

Cell lengths 4.841, 4.841, 4.876 Å; angles 90.00, 90.00, 90.00 degrees
Space group P4/mmm (No. 123)
One atom of each set of equivalent atoms:
Pm 0.000 0.000 0.000 (multiplicity 1)
Gd 0.000 0.500 0.500 (multiplicity 2)
Sb 0.500 0.500 0.000 (multiplicity 1)


*3* (0.015 eV/atom below the next structure)


*1*
PmGdSc after structural relaxation, computed with PBE-GGA.

Computed properties:
Calculated volume (Å³/atom): 30.3

Cell lengths 3.538, 3.538, 14.540 Å; angles 90.00, 90.00, 90.00 degrees
Space group I4mm (No. 107)
One atom of each set of equivalent atoms:
Pm 0.000 0.000 0.000 (multiplicity 2)
Gd 0.000 0.000 0.320 (multiplicity 2)
Sc 0.000 0.000 0.660 (multiplicity 2)


*2*
PmGdSc after structural relaxation, computed with PBE-GGA.

Computed properties:
Calculated volume (Å³/atom): 30.0

Cell lengths 5.5101, 5.5101, 3.4189 Å; angles 90.00, 90.00, 120.00 degrees
Space group P-6m2 (No. 187)
One atom of each set of equivalent atoms:
Pm 0.0000 0.0000 0.0000 (multiplicity 1)
Gd 0.6667 0.3333 0.5000 (multiplicity 1)
Sc 0.3333 0.6667 0.0000 (multiplicity 1)


*1* (0.031 eV/atom below the next structure)


*1*
PmGdSe2 after structural relaxation, computed with PBE-GGA.

Computed properties:
Calculated volume (Å³/atom): 25.5

Cell lengths 4.1651, 4.1651, 20.3731 Å; angles 90.00, 90.00, 120.00 degrees
Space group R-3m (No. 166, hexagonal axes)
One atom of each set of equivalent atoms:
Pm 0.0000 0.0000 0.0000 (multiplicity 3)
Gd 0.0000 0.0000 0.5000 (multiplicity 3)
Se 0.0000 0.0000 0.2477 (multiplicity 6)


*2*
PmGdSe2 after structural relaxation, computed with PBE-GGA.

Computed properties:
Calculated volume (Å³/atom): 23.5

Cell lengths 7.222, 7.222, 7.222 Å; angles 90.00, 90.00, 90.00 degrees
Space group Fm-3m (No. 225)
One atom of each set of equivalent atoms:
Pm 0.000 0.000 0.000 (multiplicity 4)
Gd 0.000 0.000 0.500 (multiplicity 4)
Se 0.250 0.250 0.250 (multiplicity 8)


*1* (0.248 eV/atom below the next structure)


*1*
PmSmGd2 after structural relaxation, computed with PBE-GGA.

Computed properties:
Calculated volume (Å³/atom): 33.2

Cell lengths 5.104, 5.104, 5.099 Å; angles 90.00, 90.00, 90.00 degrees
Space group P4/mmm (No. 123)
One atom of each set of equivalent atoms:
Pm 0.000 0.000 0.000 (multiplicity 1)
Sm 0.500 0.500 0.000 (multiplicity 1)
Gd 0.000 0.500 0.500 (multiplicity 2)


*2*
PmSmGd2 after structural relaxation, computed with PBE-GGA.

Computed properties:
Calculated volume (Å³/atom): 33.4

Cell lengths 8.111, 8.111, 8.111 Å; angles 90.00, 90.00, 90.00 degrees
Space group Fm-3m (No. 225)
One atom of each set of equivalent atoms:
Pm 0.000 0.000 0.000 (multiplicity 4)
Sm 0.000 0.000 0.500 (multiplicity 4)
Gd 0.250 0.250 0.250 (multiplicity 8)


*3*
PmSmGd2 after structural relaxation, computed with PBE-GGA.

Computed properties:
Calculated volume (Å³/atom): 33.9

Cell lengths 3.5347, 3.5347, 37.5615 Å; angles 90.00, 90.00, 120.00 degrees
Space group R-3m (No. 166, hexagonal axes)
One atom of each set of equivalent atoms:
Pm 0.0000 0.0000 0.0000 (multiplicity 3)
Sm 0.0000 0.0000 0.5000 (multiplicity 3)
Gd 0.0000 0.0000 0.4106 (multiplicity 6)


*1* (0.073 eV/atom below the next structure)


*1*
PmSm2Gd after structural relaxation, computed with PBE-GGA.

Computed properties:
Calculated volume (Å³/atom): 33.7

Cell lengths 3.630, 3.630, 10.221 Å; angles 90.00, 90.00, 90.00 degrees
Space group P4/mmm (No. 123)
One atom of each set of equivalent atoms:
Pm 0.000 0.000 0.000 (multiplicity 1)
Sm 0.500 0.500 0.251 (multiplicity 2)
Gd 0.000 0.000 0.500 (multiplicity 1)


*2*
PmSm2Gd after structural relaxation, computed with PBE-GGA.

Computed properties:
Calculated volume (Å³/atom): 33.6

Cell lengths 5.119, 5.119, 5.127 Å; angles 90.00, 90.00, 90.00 degrees
Space group P4/mmm (No. 123)
One atom of each set of equivalent atoms:
Pm 0.000 0.000 0.000 (multiplicity 1)
Sm 0.000 0.500 0.500 (multiplicity 2)
Gd 0.500 0.500 0.000 (multiplicity 1)


*3*
PmSm2Gd after structural relaxation, computed with PBE-GGA.

Computed properties:
Calculated volume (Å³/atom): 34.0

Cell lengths 3.5334, 3.5334, 37.7813 Å; angles 90.00, 90.00, 120.00 degrees
Space group R-3m (No. 166, hexagonal axes)
One atom of each set of equivalent atoms:
Pm 0.0000 0.0000 0.0000 (multiplicity 3)
Sm 0.0000 0.0000 0.0897 (multiplicity 6)
Gd 0.0000 0.0000 0.5000 (multiplicity 3)


*2* (0.005 eV/atom below the next structure)


*1*
Pm2SmGd after structural relaxation, computed with PBE-GGA.

Computed properties:
Calculated volume (Å³/atom): 33.8

Cell lengths 3.635, 3.635, 10.239 Å; angles 90.00, 90.00, 90.00 degrees
Space group P4/mmm (No. 123)
One atom of each set of equivalent atoms:
Pm 0.000 0.000 0.249 (multiplicity 2)
Sm 0.500 0.500 0.500 (multiplicity 1)
Gd 0.500 0.500 0.000 (multiplicity 1)


*2*
Pm2SmGd after structural relaxation, computed with PBE-GGA.

Computed properties:
Calculated volume (Å³/atom): 34.0

Cell lengths 8.166, 8.166, 8.166 Å; angles 90.00, 90.00, 90.00 degrees
Space group Fm-3m (No. 225)
One atom of each set of equivalent atoms:
Pm 0.250 0.250 0.250 (multiplicity 8)
Sm 0.000 0.000 0.000 (multiplicity 4)
Gd 0.000 0.000 0.500 (multiplicity 4)


*1* (0.103 eV/atom below the next structure)


*1*
PmGd2Sn after structural relaxation, computed with PBE-GGA.

Computed properties:
Calculated volume (Å³/atom): 29.1

Cell lengths 7.754, 7.754, 7.754 Å; angles 90.00, 90.00, 90.00 degrees
Space group Fm-3m (No. 225)
One atom of each set of equivalent atoms:
Pm 0.000 0.000 0.000 (multiplicity 4)
Gd 0.250 0.250 0.250 (multiplicity 8)
Sn 0.000 0.000 0.500 (multiplicity 4)


*2*
PmGd2Sn after structural relaxation, computed with PBE-GGA.

Computed properties:
Calculated volume (Å³/atom): 28.9

Cell lengths 4.873, 4.873, 4.875 Å; angles 90.00, 90.00, 90.00 degrees
Space group P4/mmm (No. 123)
One atom of each set of equivalent atoms:
Pm 0.000 0.000 0.000 (multiplicity 1)
Gd 0.000 0.500 0.500 (multiplicity 2)
Sn 0.500 0.500 0.000 (multiplicity 1)


*3*
PmGd2Sn after structural relaxation, computed with PBE-GGA.

Computed properties:
Calculated volume (Å³/atom): 30.0

Cell lengths 4.147, 4.147, 6.985 Å; angles 90.00, 90.00, 90.00 degrees
Space group P4/mmm (No. 123)
One atom of each set of equivalent atoms:
Pm 0.000 0.000 0.000 (multiplicity 1)
Gd 0.500 0.500 0.279 (multiplicity 2)
Sn 0.000 0.000 0.500 (multiplicity 1)


*2* (0.112 eV/atom below the next structure)